PBE-GGA Pu2Mg3Sn3, relaxed; magnetic moment = 11.5 μB per formula unit; final energy = -47.56 eV/cell; energy relative to the elements = -25.40 kJ/mol of atoms
1.0
4.745 0.000 0.000
0.000 4.635 0.000
0.000 0.000 8.946
Pu Mg Sn
2 3 3
Cartesian
0.000 0.000 6.665
0.000 0.000 2.281
2.373 2.318 6.731
2.373 2.318 2.215
2.373 0.000 0.000
2.373 0.000 4.473
0.000 2.318 0.000
0.000 2.318 4.473

PBE-GGA PuMgSn, relaxed; magnetic moment = 6.3 μB per formula unit; final energy = -39.65 eV/cell; energy relative to the elements = 3.28 kJ/mol of atoms
1.0
-1.596 0.399 3.314
-3.330 -0.449 -1.550
3.195 -11.371 0.844
Pu Mg Sn
2 2 2
Cartesian
-2.370 -1.477 1.102
0.639 -9.943 1.506
0.419 -6.532 0.989
-2.151 -4.888 1.619
0.219 -3.403 0.515
-1.950 -8.017 2.092

Among the records above, which one has the highest energy relative to the elements? PuMgSn

Number 1 is which compound? Pu2Mg3Sn3